VASP calculation (PBE+U) on an optimized crystal structure of AcVSi2O8.

Results
Crystal system ... trigonal

Geometry as CIF:
```
data_AcVSi2O8
_space_group_name_H-M_alt 'P 1'
_space_group_IT_number 1
_cell_length_a 8.013
_cell_length_b 8.013
_cell_length_c 8.013
_cell_angle_alpha 34.22
_cell_angle_beta 34.22
_cell_angle_gamma 34.22
loop_
_space_group_symop_operation_xyz
'x,y,z'
loop_
_atom_site_label
_atom_site_fract_x
_atom_site_fract_y
_atom_site_fract_z
Ac1 0.000 0.000 0.000
V1 0.500 0.500 0.500
Si1 0.241 0.241 0.241
Si2 0.759 0.759 0.759
O1 0.128 0.459 0.750
O2 0.250 0.541 0.872
O3 0.313 0.313 0.313
O4 0.459 0.750 0.128
O5 0.541 0.872 0.250
O6 0.687 0.687 0.687
O7 0.750 0.128 0.459
O8 0.872 0.250 0.541
```



VASP calculation (PBE+U) on an optimized crystal structure of AcV2SiO8.

Results
Crystal system ... trigonal

Geometry as CIF:
```
data_AcV2SiO8
_space_group_name_H-M_alt 'P 1'
_space_group_IT_number 1
_cell_length_a 5.426
_cell_length_b 5.426
_cell_length_c 6.670
_cell_angle_alpha 90.00
_cell_angle_beta 90.00
_cell_angle_gamma 120.00
loop_
_space_group_symop_operation_xyz
'x,y,z'
loop_
_atom_site_label
_atom_site_fract_x
_atom_site_fract_y
_atom_site_fract_z
Ac1 0.000 0.000 0.000
V1 0.333 0.667 0.733
V2 0.667 0.333 0.267
Si1 0.000 0.000 0.500
O1 0.144 0.299 0.664
O2 0.155 0.856 0.664
O3 0.299 0.155 0.336
O4 0.333 0.667 0.990
O5 0.667 0.333 0.010
O6 0.701 0.845 0.664
O7 0.845 0.144 0.336
O8 0.856 0.701 0.336
```



Calculated values (g/cm3) of ρ for the records, taken in order: 5.3, 4.7.
Calculated values (eV per atom) of electronic total energy for the records, taken in order: -7.6499, -7.6953.